Below is a relaxed K4AuCl crystal, with properties calculated at the PBE level.

As for the uncorrected formation energy: -186.2 meV per atom. Its density of states at the Fermi level is 0.214 states/eV/cell. The theoretical density comes out at 2.37 g/cm3. The magnetization is 0.00 μB/atom.

a b c (Å): 7.278 7.278 7.278
angles (deg): 60.00 60.00 60.00
Fractional positions:
K: 0.375 0.375 0.875
Cl: 0.000 0.000 0.000
K: 0.375 0.375 0.375
K: 0.375 0.875 0.375
K: 0.875 0.375 0.375
Au: 0.750 0.750 0.750

Below is a relaxed Sm4BiSb crystal, with properties calculated at the PBE level.

As for the uncorrected formation energy: -544.6 meV per atom. Its density of states at the Fermi level is 10.714 states/eV/cell. The theoretical density comes out at 7.58 g/cm3. The magnetization is 0.00 μB/atom.

a b c (Å): 5.669 6.464 11.497
angles (deg): 90.00 104.27 90.00
Fractional positions:
Sm: 0.570 0.322 0.140
Bi: 0.429 0.322 0.857
Sm: 0.712 0.073 0.425
Sb: 0.846 0.822 0.692
Sm: 0.712 0.571 0.425
Sb: 0.154 0.322 0.308
Sm: 0.288 0.573 0.575
Sm: 0.288 0.071 0.575
Sm: 0.430 0.822 0.860
Sm: 0.133 0.822 0.267
Bi: 0.571 0.822 0.143
Sm: 0.867 0.322 0.733

Please write out number 1 again, unchanged.
Below is a relaxed K4AuCl crystal, with properties calculated at the PBE level.

As for the uncorrected formation energy: -186.2 meV per atom. Its density of states at the Fermi level is 0.214 states/eV/cell. The theoretical density comes out at 2.37 g/cm3. The magnetization is 0.00 μB/atom.

a b c (Å): 7.278 7.278 7.278
angles (deg): 60.00 60.00 60.00
Fractional positions:
K: 0.375 0.375 0.875
Cl: 0.000 0.000 0.000
K: 0.375 0.375 0.375
K: 0.375 0.875 0.375
K: 0.875 0.375 0.375
Au: 0.750 0.750 0.750

Copy entry 1 word for word.
Below is a relaxed K4AuCl crystal, with properties calculated at the PBE level.

As for the uncorrected formation energy: -186.2 meV per atom. Its density of states at the Fermi level is 0.214 states/eV/cell. The theoretical density comes out at 2.37 g/cm3. The magnetization is 0.00 μB/atom.

a b c (Å): 7.278 7.278 7.278
angles (deg): 60.00 60.00 60.00
Fractional positions:
K: 0.375 0.375 0.875
Cl: 0.000 0.000 0.000
K: 0.375 0.375 0.375
K: 0.375 0.875 0.375
K: 0.875 0.375 0.375
Au: 0.750 0.750 0.750

> Number 2 is which compound?

Sm4BiSb

> Which of these has the lowest uncorrected formation energy?

Sm4BiSb